A relaxed structure of NbSb2TeH. Source: Alexandria, functional PBE-GGA.

Summary:
For the density of states at the Fermi level, the calculation gives 0.933 states/eV/atom. The final energy is -4.348 eV per atom.

Cell and atoms, written as CIF:
```
data_NbSb2TeH
_symmetry_space_group_name_H-M 'P 1'
_symmetry_Int_Tables_number 1
_cell_length_a 4.317
_cell_length_b 4.317
_cell_length_c 5.491
_cell_angle_alpha 90.00
_cell_angle_beta 90.00
_cell_angle_gamma 90.00
loop_
_symmetry_equiv_pos_as_xyz
'x,y,z'
loop_
_atom_site_label
_atom_site_fract_x
_atom_site_fract_y
_atom_site_fract_z
Nb1 0.000 0.000 0.000
Sb1 0.000 0.500 0.500
Sb2 0.500 0.000 0.500
Te1 0.500 0.500 0.000
H1 0.500 0.500 0.500
```